Entry 1:
A plane-wave DFT calculation with PBE was carried out for a geometry-optimized ThZn2Pd3 structure.

The structure belongs to space group Cmcm (No. 63); the cell edges are 9.702, 8.476 and 5.363 Å and the angles 90.00°, 90.00° and 90.00°. The inequivalent atoms are Th at (0.000, 0.189, 0.250), Zn at (0.231, 0.500, 0.000), Pd at (0.000, 0.489, 0.750) and Pd at (0.159, 0.223, 0.750).

The total magnetic moment comes out at 0.00 μB/f.u. The calculation puts the formation enthalpy at 0 K at -0.61 eV per atom. The volume comes out at 18.4 Å³/atom.



Entry 2:
A plane-wave DFT calculation with PBE was carried out for a geometry-optimized Cs3Pb structure.

The structure belongs to space group Immm (No. 71); the cell edges are 5.348, 7.096 and 13.140 Å and the angles 90.00°, 90.00° and 90.00°. The inequivalent atoms are Cs at (0.000, 0.000, 0.000), Cs at (0.000, 0.500, 0.224) and Pb at (0.000, 0.000, 0.500).

The total magnetic moment comes out at 0.00 μB/f.u. As for the energy above the most stable polymorph in this dataset: 0.000 eV per atom. The calculation puts the formation enthalpy at 0 K at 0.02 eV per atom. The volume comes out at 62.3 Å³/atom.



Entry 3:
A plane-wave DFT calculation with PBE was carried out for a geometry-optimized Li2TlAgBr4 structure.

The structure belongs to space group I-42m (No. 121); the cell edges are 6.419, 6.419 and 12.530 Å and the angles 90.00°, 90.00° and 90.00°. The inequivalent atoms are Li at (0.000, 0.500, 0.250), Tl at (0.000, 0.000, 0.000), Ag at (0.000, 0.000, 0.500) and Br at (0.218, 0.218, 0.349).

The total magnetic moment comes out at 0.00 μB/f.u. For the formation energy without anion corrections, the calculation gives -1.033 eV per atom. The volume comes out at 32.3 Å³/atom.